Density functional theory data (PBE-GGA) for crystalline SrTi2P at its relaxed geometry.

Results
The calculation puts the mass density at 3.7 g/cm3. The formation energy is -27 meV per atom.

Cell lengths 4.5867, 4.5867, 18.5350 Å; angles 90.00, 90.00, 90.00 degrees
Space group I4_1/amd (No. 141, origin choice 2)
Asymmetric unit:
Sr 0.0000 0.2500 0.3750 (multiplicity 4)
Ti 0.0000 0.0000 0.0000 (multiplicity 8)
P 0.0000 0.2500 0.8750 (multiplicity 4)